[1]
This record from the Open Quantum Materials Database describes TcTeMo2 after structural relaxation. The functional is PBE-GGA.

Output
As for the crystal system: cubic. The space-group type is F-43m (216).

Unit cell a=4.542 b=4.542 c=4.542 alpha=60.00 beta=60.00 gamma=60.00
Fractional coordinates of all 4 atoms:
Mo1 0.500 0.500 0.500
Mo2 0.250 0.250 0.250
Te1 0.750 0.750 0.750
Tc1 0.000 0.000 0.000


[2]
This record from the Open Quantum Materials Database describes TmTc2Mo4 after structural relaxation. The functional is PBE-GGA.

Output
As for the crystal system: tetragonal. The space-group type is P-42m (111).

Unit cell a=6.369 b=6.369 c=3.001 alpha=90.00 beta=90.00 gamma=90.00
Fractional coordinates of all 7 atoms:
Mo1 0.290 0.710 0.540
Mo2 0.710 0.710 0.460
Mo3 0.290 0.290 0.460
Mo4 0.710 0.290 0.540
Tc1 0.000 0.500 0.000
Tc2 0.500 0.000 0.000
Tm1 0.000 0.000 0.000


[3]
This record from the Open Quantum Materials Database describes TmTcMo after structural relaxation. The functional is PBE-GGA.

Output
As for the crystal system: cubic. The space-group type is F-43m (216).

Unit cell a=4.466 b=4.466 c=4.466 alpha=60.00 beta=60.00 gamma=60.00
Fractional coordinates of all 3 atoms:
Tm1 0.000 0.000 0.000
Tc1 0.750 0.750 0.750
Mo1 0.250 0.250 0.250


[4]
This record from the Open Quantum Materials Database describes UTcMo after structural relaxation. The functional is PBE-GGA.

Output
Its relative energy among the computed polymorphs is 159 meV/atom. As for the crystal system: cubic. The space-group type is F-43m (216).

Unit cell a=4.374 b=4.374 c=4.374 alpha=60.00 beta=60.00 gamma=60.00
Fractional coordinates of all 3 atoms:
Tc1 0.750 0.750 0.750
Mo1 0.250 0.250 0.250
U1 0.000 0.000 0.000


[5]
This record from the Open Quantum Materials Database describes UTcMo after structural relaxation. The functional is PBE-GGA.

Output
Its relative energy among the computed polymorphs is 0 meV/atom. As for the crystal system: cubic. The space-group type is F-43m (216).

Unit cell a=4.387 b=4.387 c=4.387 alpha=60.00 beta=60.00 gamma=60.00
Fractional coordinates of all 3 atoms:
U1 0.750 0.750 0.750
Tc1 0.250 0.250 0.250
Mo1 0.000 0.000 0.000


[6]
This record from the Open Quantum Materials Database describes Tc2MoW2 after structural relaxation. The functional is PBE-GGA.

Output
As for the crystal system: tetragonal. The space-group type is I4/mmm (139).

Unit cell a=4.034 b=4.034 c=6.132 alpha=109.21 beta=109.21 gamma=90.00
Fractional coordinates of all 5 atoms:
Tc1 0.392 0.392 0.783
Tc2 0.608 0.608 0.217
W1 0.750 0.250 0.500
W2 0.250 0.750 0.500
Mo1 0.000 0.000 0.000


[7]
This record from the Open Quantum Materials Database describes TcMoW after structural relaxation. The functional is PBE-GGA.

Output
Its relative energy among the computed polymorphs is 0 meV/atom. As for the crystal system: cubic. The space-group type is F-43m (216).

Unit cell a=4.260 b=4.260 c=4.260 alpha=60.00 beta=60.00 gamma=60.00
Fractional coordinates of all 3 atoms:
Tc1 0.000 0.000 0.000
W1 0.250 0.250 0.250
Mo1 0.750 0.750 0.750


[8]
This record from the Open Quantum Materials Database describes TcMoW2 after structural relaxation. The functional is PBE-GGA.

Output
As for the crystal system: cubic. The space-group type is F-43m (216).

Unit cell a=4.461 b=4.461 c=4.461 alpha=60.00 beta=60.00 gamma=60.00
Fractional coordinates of all 4 atoms:
W1 0.500 0.500 0.500
W2 0.250 0.250 0.250
Mo1 0.750 0.750 0.750
Tc1 0.000 0.000 0.000


[9]
This record from the Open Quantum Materials Database describes Y2TcMo after structural relaxation. The functional is PBE-GGA.

Output
As for the crystal system: cubic. The space-group type is F-43m (216).

Unit cell a=4.851 b=4.851 c=4.851 alpha=60.00 beta=60.00 gamma=60.00
Fractional coordinates of all 4 atoms:
Tc1 0.000 0.000 0.000
Y1 0.500 0.500 0.500
Y2 0.250 0.250 0.250
Mo1 0.750 0.750 0.750


[10]
This record from the Open Quantum Materials Database describes YTcMo2 after structural relaxation. The functional is PBE-GGA.

Output
As for the crystal system: cubic. The space-group type is F-43m (216).

Unit cell a=4.621 b=4.621 c=4.621 alpha=60.00 beta=60.00 gamma=60.00
Fractional coordinates of all 4 atoms:
Y1 0.250 0.250 0.250
Mo1 0.000 0.000 0.000
Mo2 0.750 0.750 0.750
Tc1 0.500 0.500 0.500


[11]
This record from the Open Quantum Materials Database describes YTcMo after structural relaxation. The functional is PBE-GGA.

Output
Its relative energy among the computed polymorphs is 0 meV/atom. As for the crystal system: cubic. The space-group type is F-43m (216).

Unit cell a=4.481 b=4.481 c=4.481 alpha=60.00 beta=60.00 gamma=60.00
Fractional coordinates of all 3 atoms:
Tc1 0.000 0.000 0.000
Y1 0.750 0.750 0.750
Mo1 0.250 0.250 0.250


[12]
This record from the Open Quantum Materials Database describes ZnTcMo after structural relaxation. The functional is PBE-GGA.

Output
Its relative energy among the computed polymorphs is 0 meV/atom. As for the crystal system: cubic. The space-group type is F-43m (216).

Unit cell a=4.212 b=4.212 c=4.212 alpha=60.00 beta=60.00 gamma=60.00
Fractional coordinates of all 3 atoms:
Mo1 0.250 0.250 0.250
Tc1 0.000 0.000 0.000
Zn1 0.750 0.750 0.750


[13]
This record from the Open Quantum Materials Database describes ZnTcMo2 after structural relaxation. The functional is PBE-GGA.

Output
As for the crystal system: cubic. The space-group type is F-43m (216).

Unit cell a=4.400 b=4.400 c=4.400 alpha=60.00 beta=60.00 gamma=60.00
Fractional coordinates of all 4 atoms:
Zn1 0.500 0.500 0.500
Tc1 0.250 0.250 0.250
Mo1 0.000 0.000 0.000
Mo2 0.750 0.750 0.750


[14]
This record from the Open Quantum Materials Database describes Te2Mo after structural relaxation. The functional is PBE-GGA.

Output
As for the crystal system: hexagonal. The space-group type is P6_3mc (186).

Unit cell a=3.551 b=3.551 c=29.460 alpha=90.00 beta=90.00 gamma=120.00
Fractional coordinates of all 12 atoms:
Te1 0.667 0.333 0.436
Te2 0.000 0.000 0.059
Te3 0.333 0.667 0.936
Te4 0.000 0.000 0.182
Te5 0.667 0.333 0.313
Te6 0.333 0.667 0.813
Te7 0.000 0.000 0.682
Te8 0.000 0.000 0.559
Mo1 0.333 0.667 0.375
Mo2 0.667 0.333 0.875
Mo3 0.333 0.667 0.121
Mo4 0.667 0.333 0.621


[15]
This record from the Open Quantum Materials Database describes TeMo after structural relaxation. The functional is PBE-GGA.

Output
Its relative energy among the computed polymorphs is 357 meV/atom. As for the crystal system: cubic. The space-group type is Fm-3m (225).

Unit cell a=4.031 b=4.031 c=4.031 alpha=60.00 beta=60.00 gamma=60.00
Fractional coordinates of all 2 atoms:
Mo1 0.000 0.000 0.000
Te1 0.500 0.500 0.500


[16]
This record from the Open Quantum Materials Database describes Te4Mo5 after structural relaxation. The functional is PBE-GGA.

Output
As for the crystal system: tetragonal. The space-group type is I4/m (87).

Unit cell a=7.305 b=7.305 c=7.305 alpha=94.38 beta=94.38 gamma=147.93
Fractional coordinates of all 9 atoms:
Mo1 0.409 0.334 0.743
Mo2 0.591 0.666 0.257
Mo3 0.666 0.409 0.074
Mo4 0.000 0.000 0.000
Mo5 0.334 0.591 0.926
Te1 0.281 0.072 0.354
Te2 0.928 0.281 0.209
Te3 0.719 0.928 0.646
Te4 0.072 0.719 0.791


[17]
This record from the Open Quantum Materials Database describes Te2Mo after structural relaxation. The functional is PBE-GGA.

Output
As for the crystal system: cubic. The space-group type is Fd-3m (227).

Unit cell a=8.268 b=8.268 c=8.268 alpha=60.00 beta=60.00 gamma=60.00
Fractional coordinates of all 6 atoms:
Te1 0.375 0.375 0.375
Te2 0.875 0.375 0.375
Te3 0.375 0.875 0.375
Te4 0.375 0.375 0.875
Mo1 0.500 0.500 0.500
Mo2 0.250 0.250 0.250


[18]
This record from the Open Quantum Materials Database describes Te2Mo after structural relaxation. The functional is PBE-GGA.

Output
As for the crystal system: hexagonal. The space-group type is P-6m2 (187).

Unit cell a=3.558 b=3.558 c=29.473 alpha=90.00 beta=90.00 gamma=120.00
Fractional coordinates of all 12 atoms:
Te1 0.667 0.333 0.939
Te2 0.000 0.000 0.439
Te3 0.667 0.333 0.061
Te4 0.333 0.667 0.313
Te5 0.333 0.667 0.810
Te6 0.333 0.667 0.190
Te7 0.333 0.667 0.687
Te8 0.000 0.000 0.561
Mo1 0.667 0.333 0.500
Mo2 0.000 0.000 0.000
Mo3 0.000 0.000 0.749
Mo4 0.000 0.000 0.251


[19]
This record from the Open Quantum Materials Database describes TeMo after structural relaxation. The functional is PBE-GGA.

Output
Its relative energy among the computed polymorphs is 452 meV/atom. As for the crystal system: cubic. The space-group type is F-43m (216).

Unit cell a=4.323 b=4.323 c=4.323 alpha=60.00 beta=60.00 gamma=60.00
Fractional coordinates of all 2 atoms:
Te1 0.250 0.250 0.250
Mo1 0.000 0.000 0.000


[20]
This record from the Open Quantum Materials Database describes Te2Mo after structural relaxation. The functional is PBE-GGA.

Output
As for the crystal system: cubic. The space-group type is Fd-3m (227).

Unit cell a=6.302 b=6.302 c=6.302 alpha=60.00 beta=60.00 gamma=60.00
Fractional coordinates of all 6 atoms:
Te1 0.625 0.125 0.625
Te2 0.125 0.625 0.625
Te3 0.625 0.625 0.125
Te4 0.625 0.625 0.625
Mo1 0.250 0.250 0.250
Mo2 0.000 0.000 0.000


[21]
This record from the Open Quantum Materials Database describes TeMo after structural relaxation. The functional is PBE-GGA.

Output
Its relative energy among the computed polymorphs is 0 meV/atom. As for the crystal system: hexagonal. The space-group type is P-6m2 (187).

Unit cell a=3.388 b=3.388 c=3.966 alpha=90.00 beta=90.00 gamma=120.00
Fractional coordinates of all 2 atoms:
Te1 0.333 0.667 0.250
Mo1 0.667 0.333 0.750


[22]
This record from the Open Quantum Materials Database describes Te2Mo after structural relaxation. The functional is PBE-GGA.

Output
As for the crystal system: orthorhombic. The space-group type is C222_1 (20).

Unit cell a=3.508 b=3.508 c=31.384 alpha=90.00 beta=90.00 gamma=119.98
Fractional coordinates of all 12 atoms:
Mo1 0.242 0.242 0.377
Mo2 0.242 0.242 0.623
Mo3 0.758 0.758 0.123
Mo4 0.758 0.758 0.877
Te1 0.090 0.425 0.819
Te2 0.092 0.425 0.935
Te3 0.908 0.575 0.435
Te4 0.425 0.090 0.181
Te5 0.575 0.910 0.681
Te6 0.575 0.908 0.565
Te7 0.910 0.575 0.319
Te8 0.425 0.092 0.065


[23]
This record from the Open Quantum Materials Database describes Te2Mo after structural relaxation. The functional is PBE-GGA.

Output
As for the crystal system: monoclinic. The space-group type is P2_1/c (14).

Unit cell a=6.912 b=6.815 c=7.021 alpha=90.00 beta=117.33 gamma=90.00
Fractional coordinates of all 12 atoms:
Te1 0.657 0.646 0.827
Te2 0.145 0.636 0.376
Te3 0.145 0.864 0.876
Te4 0.855 0.364 0.624
Te5 0.657 0.854 0.327
Te6 0.855 0.136 0.124
Te7 0.343 0.146 0.673
Te8 0.343 0.354 0.173
Mo1 0.711 0.007 0.694
Mo2 0.711 0.493 0.194
Mo3 0.289 0.507 0.806
Mo4 0.289 0.993 0.306


[24]
This record from the Open Quantum Materials Database describes Tl2TeMo after structural relaxation. The functional is PBE-GGA.

Output
As for the crystal system: cubic. The space-group type is F-43m (216).

Unit cell a=5.233 b=5.233 c=5.233 alpha=60.00 beta=60.00 gamma=60.00
Fractional coordinates of all 4 atoms:
Te1 0.000 0.000 0.000
Mo1 0.750 0.750 0.750
Tl1 0.500 0.500 0.500
Tl2 0.250 0.250 0.250


[25]
This record from the Open Quantum Materials Database describes TlTe3Mo3 after structural relaxation. The functional is PBE-GGA.

Output
As for the crystal system: hexagonal. The space-group type is P6_3/m (176).

Unit cell a=9.616 b=9.613 c=4.614 alpha=90.00 beta=90.00 gamma=119.99
Fractional coordinates of all 14 atoms:
Mo1 0.855 0.829 0.750
Mo2 0.145 0.171 0.250
Mo3 0.974 0.145 0.750
Mo4 0.829 0.974 0.250
Mo5 0.171 0.026 0.750
Mo6 0.026 0.855 0.250
Te1 0.310 0.365 0.750
Te2 0.055 0.690 0.750
Te3 0.365 0.055 0.250
Te4 0.690 0.635 0.250
Te5 0.945 0.310 0.250
Te6 0.635 0.945 0.750
Tl1 0.333 0.667 0.250
Tl2 0.667 0.333 0.750


[26]
This record from the Open Quantum Materials Database describes TlTeMo after structural relaxation. The functional is PBE-GGA.

Output
Its relative energy among the computed polymorphs is 0 meV/atom. As for the crystal system: cubic. The space-group type is F-43m (216).

Unit cell a=4.763 b=4.763 c=4.763 alpha=60.00 beta=60.00 gamma=60.00
Fractional coordinates of all 3 atoms:
Tl1 0.750 0.750 0.750
Te1 0.250 0.250 0.250
Mo1 0.000 0.000 0.000


[27]
This record from the Open Quantum Materials Database describes TlTe5Mo3 after structural relaxation. The functional is PBE-GGA.

Output
As for the crystal system: hexagonal. The space-group type is P6/mmm (191).

Unit cell a=5.978 b=5.978 c=8.221 alpha=90.00 beta=90.00 gamma=120.00
Fractional coordinates of all 9 atoms:
Te1 0.333 0.667 0.763
Te2 0.000 0.000 0.500
Te3 0.667 0.333 0.763
Te4 0.333 0.667 0.237
Te5 0.667 0.333 0.237
Tl1 0.000 0.000 0.000
Mo1 0.500 0.500 0.500
Mo2 0.000 0.500 0.500
Mo3 0.500 0.000 0.500


[28]
This record from the Open Quantum Materials Database describes Tm6Te2Mo after structural relaxation. The functional is PBE-GGA.

Output
As for the crystal system: hexagonal. The space-group type is P-62m (189).

Unit cell a=4.187 b=8.153 c=8.153 alpha=120.01 beta=90.00 gamma=90.00
Fractional coordinates of all 9 atoms:
Tm1 0.000 0.387 0.000
Tm2 0.500 0.762 0.000
Tm3 0.500 0.000 0.762
Tm4 0.000 0.000 0.387
Tm5 0.500 0.238 0.238
Tm6 0.000 0.613 0.613
Mo1 0.000 0.000 0.000
Te1 0.500 0.667 0.333
Te2 0.500 0.333 0.667


Number 1: final energy -8.39 eV/atom, mass density 10.46 g/cm³. Number 2: final energy -9.26 eV/atom, mass density 10.21 g/cm³. Number 3: final energy -7.01 eV/atom, mass density 9.57 g/cm³. Number 4: final energy -10.09 eV/atom, mass density 12.12 g/cm³. Number 5: final energy -10.25 eV/atom, mass density 12.01 g/cm³. Number 6: final energy -10.66 eV/atom, mass density 12.40 g/cm³. Number 7: final energy -10.60 eV/atom, mass density 11.48 g/cm³. Number 8: final energy -11.72 eV/atom, mass density 14.86 g/cm³. Number 9: final energy -8.14 eV/atom, mass density 7.65 g/cm³. Number 10: final energy -9.37 eV/atom, mass density 9.01 g/cm³. Number 11: final energy -8.71 eV/atom, mass density 7.38 g/cm³. Number 12: final energy -6.89 eV/atom, mass density 8.15 g/cm³. Number 13: final energy -8.15 eV/atom, mass density 9.79 g/cm³. Number 14: final energy -5.98 eV/atom, mass density 7.25 g/cm³. Number 15: final energy -6.20 eV/atom, mass density 8.02 g/cm³. Number 16: final energy -7.42 eV/atom, mass density 8.26 g/cm³. Number 17: final energy -5.24 eV/atom, mass density 2.92 g/cm³. Number 18: final energy -5.98 eV/atom, mass density 7.22 g/cm³. Number 19: final energy -6.11 eV/atom, mass density 6.50 g/cm³. Number 20: final energy -4.12 eV/atom, mass density 6.59 g/cm³. Number 21: final energy -6.56 eV/atom, mass density 9.42 g/cm³. Number 22: final energy -5.98 eV/atom, mass density 6.97 g/cm³. Number 23: final energy -5.84 eV/atom, mass density 7.94 g/cm³. Number 24: final energy -3.98 eV/atom, mass density 10.36 g/cm³. Number 25: final energy -6.62 eV/atom, mass density 7.87 g/cm³. Number 26: final energy -4.77 eV/atom, mass density 9.30 g/cm³. Number 27: final energy -5.56 eV/atom, mass density 7.38 g/cm³. Number 28: final energy -5.45 eV/atom, mass density 9.40 g/cm³.